No. 1
First-principles (PBE) data for a relaxed Pu2PaCrN4 crystal, as listed in Alexandria.

Cell and atoms, written as extended XYZ:
```
16
Lattice="-0.1142 1.9143 -2.6830 4.3534 -3.9218 -0.9566 -7.5814 -7.2354 -4.8399" Properties=species:S:1:pos:R:3 pbc="T T T"
Pu -4.0282 -9.0279 -6.2701
N -1.5664 -1.1181 -2.7580
Pu -2.3028 -3.0673 -4.1174
Pu 0.6860 -0.2149 -2.2094
Cr -2.7442 -6.5388 -6.5756
Cr -0.5980 -2.7040 -1.9039
Pu -1.0393 -6.1755 -4.3620
N -2.9448 -4.9350 -5.4227
N 0.0000 0.0000 0.0000
N -1.7758 -8.1247 -5.7215
Pa -4.7462 -6.0751 -4.1326
N 1.3848 -2.6069 -1.9190
N -3.7907 -3.6177 -2.4199
N -4.7270 -6.6359 -6.5605
N -0.3974 -4.3078 -3.0567
Pa 1.4041 -3.1677 -4.3469
```

Calculated values
As for the space group: Cmcm (63). The value obtained for the total magnetization is 15.37 Bohr magnetons per cell. The uncorrected energy is -89.9 eV/f.u. The value obtained for the uncorrected formation energy is -1.101 eV/atom.



No. 2
First-principles (PBE) data for a relaxed RbPaCrN4 crystal, as listed in Alexandria.

Cell and atoms, written as extended XYZ:
```
14
Lattice="-1.5260 4.4955 -3.3991 1.2644 -3.0298 -4.5747 -6.5741 -4.3660 1.0745" Properties=species:S:1:pos:R:3 pbc="T T T"
N -1.6156 -2.8392 -2.1141
N -1.1843 -1.2760 -4.6803
N -5.2201 -0.0611 -4.7851
N -5.6515 -1.6243 -2.2190
Cr -1.6884 -2.7248 -3.8601
Rb -6.2538 -3.1256 -4.8565
N -1.0136 -4.2819 -4.2925
Pa -3.6721 -2.1375 -1.3320
N -3.3288 -2.7043 -4.3270
Rb -0.5819 0.2253 -2.0427
N -5.8222 1.3816 -2.6068
Pa -3.1637 -0.7628 -5.5672
Cr -5.1474 -0.1755 -3.0391
N -3.5070 -0.1960 -2.5722
```

Calculated values
As for the space group: P2_1/m (11). The value obtained for the total magnetization is 0.00 Bohr magnetons per cell. The uncorrected energy is -59.1 eV/f.u. The value obtained for the uncorrected formation energy is -0.822 eV/atom.



No. 3
First-principles (PBE) data for a relaxed Rb4Pa3CrN8 crystal, as listed in Alexandria.

Cell and atoms, written as extended XYZ:
```
16
Lattice="-0.0896 1.6280 6.7613 3.3010 -6.8815 1.7007 3.4246 4.0435 -4.5055" Properties=species:S:1:pos:R:3 pbc="T T T"
Cr 1.6505 -3.4408 0.8504
N 3.5731 -2.4587 0.6394
N 1.2674 -0.8720 5.6812
N 3.0629 1.2487 3.3172
N 3.0109 0.3840 -0.0525
N 5.3687 -0.3380 -1.7246
Pa 3.3628 -1.4190 -1.4024
N 5.3216 0.5163 1.8234
Rb 0.0000 0.0000 0.0000
Pa 3.3180 -0.6050 1.9783
N 3.6251 -1.5940 4.0091
Pa 1.6057 -2.6268 4.2310
Rb -0.0448 0.8140 3.3806
N 1.3144 -1.7263 2.1331
Rb 1.6675 2.8358 1.1279
Rb 1.7123 2.0218 -2.2527
```

Calculated values
As for the space group: R-3m (166). The value obtained for the total magnetization is 1.00 Bohr magnetons per cell. The uncorrected energy is -120.4 eV/f.u. The value obtained for the uncorrected formation energy is -0.736 eV/atom.



No. 4
First-principles (PBE) data for a relaxed Pa2CrReN6 crystal, as listed in Alexandria.

Cell and atoms, written as extended XYZ:
```
10
Lattice="4.0098 0.0000 0.0000 0.0000 5.5730 0.0000 0.0000 0.0000 5.5730" Properties=species:S:1:pos:R:3 pbc="T T T"
N 2.8633 4.1346 1.4384
N 0.7386 2.7865 2.7865
Pa 3.9950 2.7865 0.0000
N 2.8633 4.1346 4.1346
N 0.6570 0.0000 0.0000
Pa 3.9950 0.0000 2.7865
Cr 2.4091 2.7865 2.7865
Re 2.6021 0.0000 0.0000
N 2.8633 1.4384 1.4384
N 2.8633 1.4384 4.1346
```

Calculated values
As for the space group: P4mm (99). The value obtained for the total magnetization is 1.25 Bohr magnetons per cell. The uncorrected energy is -98.3 eV/f.u. The value obtained for the uncorrected formation energy is -0.726 eV/atom.



No. 5
First-principles (PBE) data for a relaxed Pa2CrReN5 crystal, as listed in Alexandria.

Cell and atoms, written as extended XYZ:
```
18
Lattice="-2.3615 1.5907 -1.7464 1.4420 -5.3856 -3.6609 -6.8745 -5.0393 4.7058" Properties=species:S:1:pos:R:3 pbc="T T T"
Pa -4.6363 -4.4452 2.2205
N -2.3778 -4.7809 -1.1392
N -5.0829 -8.4322 -0.8070
Cr -7.7585 -4.4422 3.2508
N -4.7880 -6.1555 -2.3264
Cr -2.9247 -6.5100 -1.9745
N -0.3792 -0.7532 -0.1732
Pa -2.2330 -3.7112 -3.5550
N -4.5648 -2.9160 0.3223
N 0.1800 -3.4192 -3.3575
Re -4.5362 -4.5094 -1.1675
N -2.1344 -1.9458 -2.0804
Pa -6.5470 -6.5429 -0.3007
Re 0.0322 -1.9132 -1.7861
N -7.0665 -5.2632 1.5674
N -3.0794 -0.6720 0.3576
N -4.3527 -5.9304 0.4843
Pa -2.0397 -2.8725 0.1419
```

Calculated values
As for the space group: Cmc2_1 (36). The value obtained for the total magnetization is 2.63 Bohr magnetons per cell. The uncorrected energy is -91.5 eV/f.u. The value obtained for the uncorrected formation energy is -0.979 eV/atom.



No. 6
First-principles (PBE) data for a relaxed PaCr2ReN6 crystal, as listed in Alexandria.

Cell and atoms, written as extended XYZ:
```
10
Lattice="-4.3263 1.4597 2.5990 -4.7430 -1.2569 -1.8777 -2.9203 -3.8948 2.6363" Properties=species:S:1:pos:R:3 pbc="T T T"
N -6.1121 -1.6851 -0.4950
Cr -2.9259 -3.7087 2.5234
N -4.6050 -3.1049 1.7176
Re -3.0144 -0.2372 0.4248
N -6.1169 -2.0417 3.5405
Cr -6.0002 -1.6302 1.5481
N -4.4391 -0.3142 1.7003
N -7.5177 -0.2926 1.8686
N -7.1879 -3.2853 1.5288
Pa -9.0041 -2.2879 2.2265
```

Calculated values
As for the space group: R3 (146). The value obtained for the total magnetization is 5.70 Bohr magnetons per cell. The uncorrected energy is -95.6 eV/f.u. The value obtained for the uncorrected formation energy is -0.447 eV/atom.



No. 7
First-principles (PBE) data for a relaxed Pa2CrRhN5 crystal, as listed in Alexandria.

Cell and atoms, written as extended XYZ:
```
18
Lattice="-1.3800 2.2530 1.9337 -0.0018 -5.5565 3.7009 9.0254 2.4138 3.6285" Properties=species:S:1:pos:R:3 pbc="T T T"
N 0.4175 -0.4953 3.6469
Rh 3.4281 -3.0782 6.0329
N 0.5552 -0.4170 0.8821
Cr 3.6035 -0.1995 5.5759
Rh 7.8611 3.1636 4.6959
Pa 6.1106 0.0077 7.1236
N 3.6496 1.1626 4.0218
N -0.4983 -3.2536 3.4352
N 6.2173 -2.4325 7.2711
N 1.6577 1.6047 2.0851
N 3.8704 -1.3332 7.0873
Pa 5.9642 0.7678 3.3618
Cr -0.1045 -1.7986 2.0210
Pa 2.5536 -0.6244 2.5498
N 2.9559 -1.9099 4.3347
Pa 0.3394 -2.0158 5.3626
N 5.5536 -0.8416 4.9438
N 6.9669 1.6298 5.8448
```

Calculated values
As for the space group: Cmc2_1 (36). The value obtained for the total magnetization is 4.41 Bohr magnetons per cell. The uncorrected energy is -85.5 eV/f.u. The value obtained for the uncorrected formation energy is -0.878 eV/atom.



No. 8
First-principles (PBE) data for a relaxed Sc2PaCrN4 crystal, as listed in Alexandria.

Cell and atoms, written as extended XYZ:
```
16
Lattice="3.2270 0.0000 0.0000 -1.6135 5.5085 0.0000 0.0000 0.0000 10.9260" Properties=species:S:1:pos:R:3 pbc="T T T"
N 1.6135 2.5383 9.5660
N 0.0000 0.0000 0.0000
Cr 1.6135 3.8322 8.1945
Pa 0.0000 1.2001 8.1945
Pa 1.6135 4.3084 2.7315
Cr 0.0000 1.6763 2.7315
N 1.6135 2.5383 6.8229
N 0.0000 2.9702 4.1030
Sc 0.0000 4.0827 10.4434
Sc 1.6135 1.4258 4.9804
N 1.6135 0.5677 2.7315
N 0.0000 0.0000 5.4630
Sc 0.0000 4.0827 5.9456
N 0.0000 4.9408 8.1945
Sc 1.6135 1.4258 0.4826
N 0.0000 2.9702 1.3599
```

Calculated values
As for the space group: Cmcm (63). The value obtained for the total magnetization is 4.01 Bohr magnetons per cell. The uncorrected energy is -76.0 eV/f.u. The value obtained for the uncorrected formation energy is -1.361 eV/atom.



No. 9
First-principles (PBE) data for a relaxed SmPaCrN3 crystal, as listed in Alexandria.

Cell and atoms, written as extended XYZ:
```
12
Lattice="-0.0885 -0.7919 -3.2686 2.8465 -6.6009 1.5220 -7.1316 -1.4429 0.5427" Properties=species:S:1:pos:R:3 pbc="T T T"
Pa 0.5394 -4.7942 0.2811
Cr -0.4584 -7.2315 -0.8328
N -4.5780 -5.2125 0.5210
N -5.7677 -2.2315 -0.1689
Cr -3.9153 -1.6042 -0.3711
N 0.2043 -3.6232 -1.7249
N -1.5355 -6.3702 0.7191
Pa -4.9131 -4.0415 -1.4850
N -2.8382 -2.4654 -1.9230
Sm -0.9576 -1.5985 -0.4525
N 1.3941 -6.6042 -1.0350
Sm -3.4161 -7.2371 -0.7514
```

Calculated values
As for the space group: P2_1/m (11). The value obtained for the total magnetization is 1.33 Bohr magnetons per cell. The uncorrected energy is -55.7 eV/f.u. The value obtained for the uncorrected formation energy is -1.143 eV/atom.